# CeDyCuRh | Alexandria via LeMat-Bulk | PBE-GGA | optimized geometry
# total DFT energy (no corrections) = -95.2 eV per cell
# spin magnetization = 0.41 μB per formula unit
data_CeDyCuRh
_cell_length_a 6.967
_cell_length_b 6.967
_cell_length_c 6.967
_cell_angle_alpha 90.00
_cell_angle_beta 90.00
_cell_angle_gamma 90.00
_space_group_name_H-M_alt 'F -4 3 m'
_space_group_IT_number 216
_space_group_name_Hall 'F -4 2 3'
loop_
_atom_site_label
_atom_site_type_symbol
_atom_site_fract_x
_atom_site_fract_y
_atom_site_fract_z
Ce1 Ce 0.000 0.000 0.000
Dy1 Dy 0.000 0.000 0.500
Cu1 Cu 0.250 0.250 0.750
Rh1 Rh 0.250 0.250 0.250